a) The following is a PBE calculation of a relaxed structure of LiCuOF2, from the Alexandria database.

Cell: 3.5877 3.5877 3.8257 Å, 90.00 90.00 90.00°
Space group P4/mmm (No. 123)
Asymmetric unit:
Li 0.0000 0.0000 0.0000 (multiplicity 1)
Cu 0.5000 0.5000 0.5000 (multiplicity 1)
O 0.0000 0.0000 0.5000 (multiplicity 1)
F 0.0000 0.5000 0.0000 (multiplicity 2)

***

b) The following is a PBE calculation of a relaxed structure of LiCuOF2, from the Alexandria database.

Cell: 4.0455 4.0455 3.6118 Å, 90.00 90.00 90.00°
Space group P4/mmm (No. 123)
Asymmetric unit:
Li 0.0000 0.0000 0.0000 (multiplicity 1)
Cu 0.5000 0.5000 0.5000 (multiplicity 1)
O 0.5000 0.5000 0.0000 (multiplicity 1)
F 0.0000 0.5000 0.5000 (multiplicity 2)

***

b) is preferred energetically. Next in line: 471 meV per atom higher.

***

a) The following is a PBE calculation of a relaxed structure of MgCu3F, from the Alexandria database.

Cell: 4.2147 4.2147 4.2147 Å, 90.00 90.00 90.00°
Space group Pm-3m (No. 221)
Asymmetric unit:
Mg 0.0000 0.0000 0.0000 (multiplicity 1)
Cu 0.0000 0.5000 0.5000 (multiplicity 3)
F 0.5000 0.5000 0.5000 (multiplicity 1)

***

b) The following is a PBE calculation of a relaxed structure of MgCu3F, from the Alexandria database.

Cell: 4.6498 4.6498 4.6498 Å, 90.00 90.00 90.00°
Space group Pm-3m (No. 221)
Asymmetric unit:
Mg 0.0000 0.0000 0.0000 (multiplicity 1)
Cu 0.0000 0.0000 0.5000 (multiplicity 3)
F 0.5000 0.5000 0.5000 (multiplicity 1)

***

a) is preferred energetically. Next in line: 769 meV per atom higher.